Entry 1:
This record from Alexandria describes a relaxed structure of SbAsSe2F. The functional is GGA-PBE. Values from VASP.

Structure (Quantum ESPRESSO input):
```
&SYSTEM
  ibrav = 0, nat = 5, ntyp = 4
/
ATOMIC_SPECIES
F 19.00 F.upf
As 74.92 As.upf
Se 78.96 Se.upf
Sb 121.76 Sb.upf
ATOMIC_POSITIONS crystal
F 0.000 0.000 0.000
As 0.000 0.000 0.500
Se 0.000 0.500 0.000
Se 0.500 0.000 0.000
Sb 0.500 0.500 0.500
CELL_PARAMETERS angstrom
-2.369 2.599 3.856
-1.654 -4.516 2.027
3.308 -0.230 2.187
```

Summary:
As for the energy above the most stable polymorph in this dataset: 0 meV per atom. The calculation puts the density of states at the Fermi level at 2.76 states/eV/cell.

Entry 2:
This record from Alexandria describes a relaxed structure of Ho2ErCl. The functional is GGA-PBE. Values from VASP.

Structure (Quantum ESPRESSO input):
```
&SYSTEM
  ibrav = 0, nat = 4, ntyp = 3
/
ATOMIC_SPECIES
Ho 164.93 Ho.upf
Er 167.26 Er.upf
Cl 35.45 Cl.upf
ATOMIC_POSITIONS crystal
Ho 0.100 0.100 0.699
Ho 0.900 0.900 0.301
Er 0.000 0.000 0.000
Cl 0.500 0.500 0.500
CELL_PARAMETERS angstrom
-1.030 2.677 -1.848
-3.324 0.735 -0.232
-0.638 7.659 8.299
```

Summary:
The calculation puts the density of states at the Fermi level at 5.57 states/eV/cell. Its final energy is -16.945 eV for the cell shown.

Entry 3:
This record from Alexandria describes a relaxed structure of Sc3ReAu. The functional is GGA-PBE. Values from VASP.

Structure (Quantum ESPRESSO input):
```
&SYSTEM
  ibrav = 0, nat = 5, ntyp = 3
/
ATOMIC_SPECIES
Sc 44.96 Sc.upf
Au 196.97 Au.upf
Re 186.21 Re.upf
ATOMIC_POSITIONS crystal
Sc 0.500 0.000 0.000
Sc 0.000 0.000 0.500
Sc 0.000 0.500 0.000
Au 0.000 0.000 0.000
Re 0.500 0.500 0.500
CELL_PARAMETERS angstrom
-2.614 -3.091 -2.959
2.508 -3.917 1.875
-3.467 -0.503 3.588
```

Summary:
As for the energy above the most stable polymorph in this dataset: 618 meV per atom. The calculation puts the density of states at the Fermi level at 5.17 states/eV/cell.

Entry 4:
This record from Alexandria describes a relaxed structure of Cd3Ag2Au4. The functional is GGA-PBE. Values from VASP.

Structure (Quantum ESPRESSO input):
```
&SYSTEM
  ibrav = 0, nat = 9, ntyp = 3
/
ATOMIC_SPECIES
Au 196.97 Au.upf
Cd 112.41 Cd.upf
Ag 107.87 Ag.upf
ATOMIC_POSITIONS crystal
Au 0.667 0.666 0.890
Au 0.996 0.010 0.668
Au 0.004 0.990 0.332
Au 0.333 0.334 0.110
Cd 0.000 0.000 0.000
Cd 0.665 0.670 0.561
Cd 0.335 0.330 0.439
Ag 0.332 0.336 0.780
Ag 0.668 0.664 0.220
CELL_PARAMETERS angstrom
-3.114 0.379 2.757
1.469 -0.745 5.006
3.767 7.574 3.293
```

Summary:
The calculation puts the density of states at the Fermi level at 1.90 states/eV/cell. Its final energy is -22.698 eV for the cell shown.